# 1
{"formula": "AcPmY5", "functional": "PBE-GGA", "state": "relaxed", "spacegroup": "C2/c, No. 15", "ef_ev_per_atom": 0.198, "e_tot_ha_per_atom": -0.2089, "lattice_angstrom": [[-5.598, -0.859, -4.256], [6.642, -1.949, -5.273], [-0.148, -7.298, 4.737]], "species": ["Y", "Y", "Y", "Ac", "Y", "Y", "Pm", "Y", "Y", "Pm", "Ac", "Y", "Y", "Y"], "frac_coords": [[0.250, 0.389, 0.111], [0.032, 0.153, 0.398], [0.468, 0.102, 0.347], [0.750, 0.346, 0.154], [0.532, 0.898, 0.653], [0.140, 0.734, 0.277], [0.500, 0.500, 0.500], [0.750, 0.611, 0.889], [0.968, 0.847, 0.602], [0.000, 0.000, 0.000], [0.250, 0.654, 0.846], [0.860, 0.266, 0.723], [0.640, 0.777, 0.234], [0.360, 0.223, 0.766]]}

---

# 2
{"formula": "Cs2LiAu2", "functional": "PBE-GGA", "state": "relaxed", "relative_energy_mev_per_atom": 140, "spacegroup": "P4/mbm, No. 127", "ef_ev_per_atom": -0.152, "e_tot_ha_per_atom": -0.0804, "lattice_angstrom": [[8.046, 0.000, 0.000], [0.000, 8.046, 0.000], [0.000, 0.000, 5.557]], "species": ["Au", "Cs", "Cs", "Li", "Au", "Au", "Cs", "Li", "Au", "Cs"], "frac_coords": [[0.869, 0.631, 0.000], [0.171, 0.671, 0.500], [0.829, 0.329, 0.500], [0.500, 0.500, 0.000], [0.131, 0.369, 0.000], [0.631, 0.131, 0.000], [0.329, 0.171, 0.500], [0.000, 0.000, 0.000], [0.369, 0.869, 0.000], [0.671, 0.829, 0.500]]}

---

# 3
{"formula": "PmPaCuIr", "functional": "PBE-GGA", "state": "relaxed", "spacegroup": "F-43m, No. 216", "ef_ev_per_atom": -0.294, "e_tot_ha_per_atom": -0.2607, "lattice_angstrom": [[-1.984, -2.943, -3.428], [1.024, -4.827, -0.001], [-3.481, -3.261, 1.263]], "species": ["Pm", "Cu", "Ir", "Pa"], "frac_coords": [[0.500, 0.500, 0.500], [0.250, 0.250, 0.250], [0.750, 0.750, 0.750], [0.000, 0.000, 0.000]]}

---

# 4
{"formula": "Ce3Pr2SmAs6", "functional": "PBE-GGA", "state": "relaxed", "spacegroup": "C2/m, No. 12", "ef_ev_per_atom": -1.473, "e_tot_ha_per_atom": -0.2378, "lattice_angstrom": [[7.354, -0.001, 0.000], [-3.676, 6.369, 0.000], [-1.227, -2.124, 6.935]], "species": ["Pr", "Ce", "As", "As", "As", "Sm", "Ce", "As", "Ce", "Pr", "As", "As"], "frac_coords": [[0.666, 0.334, 0.000], [0.833, 0.167, 0.500], [0.756, 0.756, 0.257], [0.584, 0.915, 0.744], [0.244, 0.244, 0.743], [0.000, 0.000, 0.000], [0.500, 0.500, 0.500], [0.915, 0.584, 0.744], [0.167, 0.833, 0.500], [0.334, 0.666, 0.000], [0.416, 0.085, 0.256], [0.085, 0.416, 0.256]]}

---

# 5
{"formula": "La2Sm5Dy12", "functional": "PBE-GGA", "state": "relaxed", "relative_energy_mev_per_atom": 0, "spacegroup": "P-1, No. 2", "ef_ev_per_atom": 0.083, "e_tot_ha_per_atom": -0.1685, "lattice_angstrom": [[-6.061, 2.476, 1.835], [5.582, -9.207, 7.469], [-0.498, 12.418, -0.979]], "species": ["Dy", "Dy", "Sm", "Sm", "Dy", "Sm", "Dy", "Dy", "Sm", "Dy", "Dy", "Dy", "Dy", "La", "Sm", "Dy", "Dy", "La", "Dy"], "frac_coords": [[0.868, 0.031, 0.281], [0.152, 0.409, 0.642], [0.000, 0.000, 0.500], [0.588, 0.223, 0.684], [0.520, 0.614, 0.928], [0.412, 0.777, 0.316], [0.480, 0.386, 0.072], [0.388, 0.970, 0.194], [0.392, 0.252, 0.238], [0.713, 0.388, 0.523], [0.071, 0.357, 0.943], [0.132, 0.969, 0.719], [0.612, 0.030, 0.806], [0.920, 0.191, 0.117], [0.608, 0.748, 0.762], [0.287, 0.612, 0.477], [0.929, 0.643, 0.057], [0.080, 0.809, 0.883], [0.848, 0.591, 0.358]]}

---

# 6
{"formula": "CsLiPb2Br6", "functional": "PBE-GGA", "state": "relaxed", "spacegroup": "P1, No. 1", "formation_energy_uncorrected_ev_per_atom": -1.192, "e_tot_ha_per_atom": -0.1181, "lattice_angstrom": [[7.896, 0.003, 0.004], [3.951, 6.840, 0.002], [3.953, 2.281, 7.104]], "species": ["Br", "Br", "Cs", "Br", "Pb", "Br", "Pb", "Li", "Br", "Br"], "frac_coords": [[0.254, 0.915, 0.233], [0.322, 0.725, 0.757], [0.787, 0.787, 0.640], [0.916, 0.598, 0.233], [0.522, 0.522, 0.435], [0.724, 0.195, 0.758], [0.001, 0.001, 0.997], [0.342, 0.344, 0.971], [0.195, 0.323, 0.757], [0.599, 0.254, 0.233]]}

---

# 7
{"formula": "NaPr", "functional": "PBE-GGA", "state": "relaxed", "relative_energy_mev_per_atom": 0, "spacegroup": "P-3m1, No. 164", "ef_ev_per_atom": 0.070, "e_tot_ha_per_atom": -0.1095, "lattice_angstrom": [[3.691, 0.000, 0.000], [-1.846, 3.197, 0.000], [0.000, 0.000, 12.411]], "species": ["Na", "Na", "Pr", "Pr"], "frac_coords": [[0.667, 0.333, 0.373], [0.333, 0.667, 0.627], [0.667, 0.333, 0.881], [0.333, 0.667, 0.119]]}

---

# 8
{"formula": "Y2GaCo", "functional": "PBE-GGA", "state": "relaxed", "spacegroup": "P4/mmm, No. 123", "ef_ev_per_atom": -0.371, "e_tot_ha_per_atom": -0.2255, "lattice_angstrom": [[3.450, 0.000, 0.000], [0.000, 3.450, 0.000], [0.000, 0.000, 7.104]], "species": ["Y", "Y", "Ga", "Co"], "frac_coords": [[0.000, 0.000, 0.769], [0.000, 0.000, 0.231], [0.500, 0.500, 0.500], [0.500, 0.500, 0.000]]}

---

# 9
{"formula": "Er2TcBi", "functional": "PBE-GGA", "state": "relaxed", "spacegroup": "P4/mmm, No. 123", "ef_ev_per_atom": -0.311, "e_tot_ha_per_atom": -0.2262, "lattice_angstrom": [[3.403, 0.000, 0.000], [0.000, 3.403, 0.000], [0.000, 0.000, 8.574]], "species": ["Er", "Er", "Tc", "Bi"], "frac_coords": [[0.000, 0.000, 0.805], [0.000, 0.000, 0.195], [0.500, 0.500, 0.000], [0.500, 0.500, 0.500]]}

---

# 10
{"formula": "SrEuIn2", "functional": "PBE-GGA", "state": "relaxed", "spacegroup": "Fm-3m, No. 225", "ef_ev_per_atom": -0.447, "e_tot_ha_per_atom": -0.1766, "lattice_angstrom": [[5.671, 0.000, 0.000], [2.836, 4.909, 0.000], [2.836, 1.633, 4.630]], "species": ["In", "Eu", "In", "Sr"], "frac_coords": [[0.500, 0.500, 0.500], [0.250, 0.250, 0.250], [0.000, 0.000, 0.000], [0.750, 0.750, 0.750]]}

---

# 11
{"formula": "Ac3NdY6", "functional": "PBE-GGA", "state": "relaxed", "spacegroup": "R-3, No. 148", "ef_ev_per_atom": 0.402, "e_tot_ha_per_atom": -0.1906, "lattice_angstrom": [[-4.046, 4.868, -7.928], [1.508, -3.492, -9.404], [-4.321, -1.907, -5.456]], "species": ["Ac", "Nd", "Y", "Y", "Y", "Ac", "Y", "Y", "Ac", "Y"], "frac_coords": [[0.609, 0.609, 0.174], [0.850, 0.850, 0.449], [0.773, 0.101, 0.678], [0.927, 0.598, 0.223], [0.101, 0.447, 0.678], [0.350, 0.350, 0.949], [0.447, 0.773, 0.678], [0.598, 0.252, 0.223], [0.092, 0.092, 0.725], [0.252, 0.927, 0.223]]}

---

# 12
{"formula": "NaGaBr3", "functional": "PBE-GGA", "state": "relaxed", "relative_energy_mev_per_atom": 0, "spacegroup": "P2_1/c, No. 14", "formation_energy_uncorrected_ev_per_atom": -1.107, "e_tot_ha_per_atom": -0.1095, "lattice_angstrom": [[7.612, 0.000, -0.807], [0.000, 6.728, 0.000], [-0.618, 0.000, 13.503]], "species": ["Br", "Ga", "Ga", "Br", "Br", "Na", "Br", "Na", "Br", "Br", "Br", "Ga", "Br", "Br", "Br", "Na", "Na", "Br", "Ga", "Br"], "frac_coords": [[0.326, 0.328, 0.180], [0.431, 0.568, 0.068], [0.069, 0.068, 0.432], [0.358, 0.220, 0.828], [0.674, 0.672, 0.820], [0.978, 0.537, 0.166], [0.826, 0.172, 0.680], [0.478, 0.963, 0.666], [0.142, 0.720, 0.672], [0.163, 0.751, 0.010], [0.837, 0.249, 0.990], [0.931, 0.932, 0.568], [0.174, 0.828, 0.320], [0.642, 0.780, 0.172], [0.663, 0.749, 0.510], [0.022, 0.463, 0.834], [0.522, 0.037, 0.334], [0.858, 0.280, 0.328], [0.569, 0.432, 0.932], [0.337, 0.251, 0.490]]}